Density functional theory data (GGA-PBE) for crystalline MgCoHg2 at its relaxed geometry.

abc: 6.6461 6.6461 6.6461
angles: 90.00 90.00 90.00
Space group F-43m (No. 216)
One atom of each set of equivalent atoms:
Mg (0.0000, 0.0000, 0.0000) [4 per cell]
Co (0.2500, 0.2500, 0.2500) [4 per cell]
Hg (0.0000, 0.0000, 0.5000) [4 per cell]
Hg (0.2500, 0.2500, 0.7500) [4 per cell]

Properties
- magnetic moment (μB/cell) = 5.53
- DOS(E_F) (states/eV per atom) = 0.6297
- ΔE_f (eV per atom) = 0.28
- uncorrected energy (eV per cell) = -32.80